1.
Computed, not measured: crystalline K3ZnIn4 at its relaxed geometry at the PBE level of DFT.

Crystal system: orthorhombic
Density in g cm⁻³: 3.6
Formation energy in eV/atom: -0.072

Cell: 6.421 14.151 6.534 Å, 90.00 90.00 90.00°
Sites, in units of the cell vectors:
K (0.250, 0.005, 0.195)
K (0.250, 0.495, 0.195)
K (0.250, 0.750, 0.520)
K (0.750, 0.250, 0.480)
K (0.750, 0.505, 0.805)
K (0.750, 0.995, 0.805)
Zn (0.250, 0.250, 0.329)
Zn (0.750, 0.750, 0.671)
In (0.015, 0.750, 0.014)
In (0.250, 0.133, 0.681)
In (0.250, 0.367, 0.681)
In (0.485, 0.750, 0.014)
In (0.515, 0.250, 0.986)
In (0.750, 0.633, 0.319)
In (0.750, 0.867, 0.319)
In (0.985, 0.250, 0.986)

2.
Computed, not measured: crystalline Tb2Pa2Te2S5 at its relaxed geometry at the PBE level of DFT.

Crystal system: tetragonal
Raw formation energy in eV per atom: -1.45
Density in g cm⁻³: 5.7

Cell: 13.102 13.102 13.102 Å, 156.88 156.88 32.92°
Sites, in units of the cell vectors:
Tb (0.159, 0.159, 0.000)
Tb (0.841, 0.841, 0.000)
Pa (0.397, 0.397, 0.000)
Pa (0.603, 0.603, 0.000)
Te (0.279, 0.279, 0.000)
Te (0.721, 0.721, 0.000)
S (0.114, 0.614, 0.500)
S (0.386, 0.886, 0.500)
S (0.500, 0.500, 0.000)
S (0.614, 0.114, 0.500)
S (0.886, 0.386, 0.500)